Entry 1:
## PrHoSbTe (PBE-GGA)

Data for PrHoSbTe after structural relaxation.

Cell and atoms, written as extended XYZ:
```
4
Lattice="4.4443 0.0000 0.0000 2.2221 3.8489 0.0000 2.2221 1.2830 7.3100" Properties=species:S:1:pos:R:3 pbc="T T T"
Sb 6.6664 3.8489 6.6067
Ho 4.4443 2.5659 4.9597
Te 2.2221 1.2830 3.1551
Pr 6.6664 3.8489 1.1467
```


Entry 2:
## PrHo2ThSb4 (PBE-GGA)

Data for PrHo2ThSb4 after structural relaxation.

Cell and atoms, written as extended XYZ:
```
8
Lattice="-0.5563 1.7743 -4.0533 -7.6191 -0.4667 0.8414 -2.6427 6.5028 3.2092" Properties=species:S:1:pos:R:3 pbc="T T T"
Th -5.1309 3.0181 2.0253
Pr -6.7305 7.1566 1.6033
Sb -3.0529 3.3246 -3.0320
Sb -7.7653 4.4858 3.0293
Sb -6.7272 2.1446 -0.5911
Sb -4.0910 5.6658 0.5884
Ho -1.5995 4.1385 -0.4220
Ho -2.6427 6.5028 3.2092
```


Entry 3:
## Pr3HoTh2Sb6 (PBE-GGA)

Data for Pr3HoTh2Sb6 after structural relaxation.

Cell and atoms, written as extended XYZ:
```
12
Lattice="-3.4631 2.3890 1.6393 0.1204 -4.9847 7.5184 7.8407 6.2389 1.2535" Properties=species:S:1:pos:R:3 pbc="T T T"
Sb 0.3908 0.7944 5.8861
Sb 0.2746 3.2074 2.1242
Sb 0.0915 -3.7800 5.7017
Sb 4.4066 7.4231 4.7094
Sb 4.1072 2.8488 4.5250
Sb 4.2235 0.4357 8.2870
Pr 2.1420 -1.6743 6.9649
Pr -1.6713 -1.2979 4.5788
Pr 2.3560 5.3175 3.4463
Ho -1.7315 1.1945 0.8197
Th 2.4454 2.8422 7.2423
Th 2.0526 0.8010 3.1689
```


Entry 4:
## PrHo3Th2Sb6 (PBE-GGA)

Data for PrHo3Th2Sb6 after structural relaxation.

Cell and atoms, written as extended XYZ:
```
12
Lattice="4.4570 0.0000 0.0000 0.0000 8.8654 0.3422 -2.2285 -2.5281 9.3398" Properties=species:S:1:pos:R:3 pbc="T T T"
Sb 2.2285 -0.1641 3.2002
Sb 2.2285 -0.2320 9.3931
Sb 0.0000 6.5014 6.4818
Sb 0.0000 6.5693 0.2890
Sb 0.0000 1.9543 6.4007
Sb 2.2285 4.3830 3.2814
Ho 0.0000 6.5519 3.3749
Ho 2.2285 4.4327 0.1711
Ho 2.2285 -0.2146 6.3072
Pr 2.2285 0.0000 0.0000
Th 2.2285 4.2378 6.4741
Th 0.0000 2.0994 3.2079
```


Entry 5:
## Pr2HoThSb4 (PBE-GGA)

Data for Pr2HoThSb4 after structural relaxation.

Cell and atoms, written as extended XYZ:
```
8
Lattice="-0.2131 0.7047 -4.4448 -7.0670 -3.2333 -0.1738 -0.6821 7.6776 1.2499" Properties=species:S:1:pos:R:3 pbc="T T T"
Th 0.0000 0.0000 0.0000
Sb -2.0548 1.4080 -1.9616
Sb -5.4155 -0.5573 0.1713
Sb -2.3336 5.0016 0.9048
Sb -5.9074 3.7409 -1.4071
Ho -3.6401 -1.2643 -2.3093
Pr -3.8746 2.2221 0.5380
Pr -0.4476 4.1911 -1.5974
```


Entry 6:
## Pr2HoTh3Sb6 (PBE-GGA)

Data for Pr2HoTh3Sb6 after structural relaxation.

Cell and atoms, written as extended XYZ:
```
12
Lattice="-1.7234 3.0668 -2.8145 2.4709 -5.0479 -7.0133 -8.1802 -4.7701 3.4170" Properties=species:S:1:pos:R:3 pbc="T T T"
Pr -2.1826 -2.7570 -1.6676
Pr -5.2501 -3.9943 -4.7433
Th -6.4451 -1.4513 -1.2407
Th -0.9876 -5.3000 -5.1703
Th 0.3737 -0.9906 -4.9139
Sb -9.2727 -2.9181 -1.1076
Sb -2.4172 -2.4927 -4.8418
Sb -3.8118 -6.8263 -5.1041
Sb 1.8399 -3.8331 -5.3033
Sb -3.6210 0.0750 -1.3068
Sb -5.0155 -4.2585 -1.5691
Ho -0.8617 1.5334 -1.4073
```


Entry 7:
## PrHoTh2Sb5 (PBE-GGA)

Data for PrHoTh2Sb5 after structural relaxation.

Cell and atoms, written as extended XYZ:
```
9
Lattice="5.2470 0.0000 0.0000 0.0000 5.2470 0.0000 0.0000 0.0000 11.6611" Properties=species:S:1:pos:R:3 pbc="T T T"
Sb 0.0000 0.0000 2.9446
Sb 2.6235 2.6235 0.0000
Sb 0.0000 0.0000 8.7164
Sb 2.6235 0.0000 5.8305
Sb 0.0000 2.6235 5.8305
Th 2.6235 2.6235 3.5288
Th 2.6235 2.6235 8.1323
Pr 0.0000 0.0000 0.0000
Ho 0.0000 0.0000 5.8305
```


Entry 8:
## PrHo2TmSb4 (PBE-GGA)

Data for PrHo2TmSb4 after structural relaxation.

Cell and atoms, written as extended XYZ:
```
8
Lattice="-2.3516 1.5987 -5.5537 2.9853 -4.7984 -2.6443 -5.2613 -2.0509 5.1418" Properties=species:S:1:pos:R:3 pbc="T T T"
Sb -2.5647 -1.6626 1.0490
Sb -2.1427 -3.1849 -3.0722
Sb 1.7696 -3.7983 -4.9075
Sb -0.8985 -0.6002 -6.3620
Pr 0.5940 -2.9993 -7.6845
Ho -1.0195 -4.0230 -0.2843
Ho -3.6879 -0.8245 -1.7390
Tm 0.2772 -1.3994 -3.5853
```


Number 1: ΔE_f (raw) -1293 meV/atom, total moment 0.00 μB per formula unit, DFT total energy -5.448 eV/atom. Number 2: ΔE_f (raw) -1095 meV/atom, total moment 0.00 μB per formula unit, DFT total energy -5.825 eV/atom. Number 3: ΔE_f (raw) -1097 meV/atom, total moment 0.00 μB per formula unit, DFT total energy -5.971 eV/atom. Number 4: ΔE_f (raw) -1065 meV/atom, total moment 0.00 μB per formula unit, DFT total energy -5.906 eV/atom. Number 5: ΔE_f (raw) -1117 meV/atom, total moment 0.00 μB per formula unit, DFT total energy -5.872 eV/atom. Number 6: ΔE_f (raw) -1043 meV/atom, total moment 0.00 μB per formula unit, DFT total energy -6.137 eV/atom. Number 7: ΔE_f (raw) -225 meV/atom, total moment 0.00 μB per formula unit, DFT total energy -5.204 eV/atom. Number 8: ΔE_f (raw) -1108 meV/atom, total moment 0.00 μB per formula unit, DFT total energy -5.470 eV/atom.